The following is a DFT calculation (PBE) of a geometry-optimized Pm2Ag2Sn structure.

Its total energy is -4.243 eV per atom.

The structure belongs to space group C2/m (No. 12); the cell edges are 11.3096, 4.5620 and 11.2704 Å and the angles 90.00°, 115.34° and 90.00°. The distinct sites, in fractional coordinates, are Pm at (0.0147, 0.0000, 0.3388), Pm at (0.1883, 0.0000, 0.1031), Ag at (0.0330, 0.5000, 0.8907), Ag at (0.1380, 0.5000, 0.5535) and Sn at (0.2195, 0.5000, 0.3277).